(1)
Tm2ZrZn | PBE | relaxed

Values from the calculation:
- formation energy (eV/atom) = -0.15
- total DFT energy (no corrections) (eV per atom) = -4.845
- ΔE to the lowest computed polymorph (kJ/mol of formula units) = 0

Geometry as extended XYZ:
```
4
Lattice="3.388 0.000 0.000 0.000 3.388 0.000 0.000 0.000 8.397" Properties=species:S:1:pos:R:3 pbc="T T T"
Zr 1.694 1.694 4.199
Tm 0.000 0.000 6.491
Tm 0.000 0.000 1.906
Zn 1.694 1.694 0.000
```


(2)
CaCo2RePt | PBE | relaxed

Values from the calculation:
- formation energy (eV/atom) = 1.30
- total DFT energy (no corrections) (eV per atom) = -5.640

Geometry as extended XYZ:
```
5
Lattice="4.399 0.000 0.000 0.000 5.332 0.000 0.000 0.000 4.399" Properties=species:S:1:pos:R:3 pbc="T T T"
Co 0.000 0.000 2.199
Co 2.199 0.000 0.000
Pt 2.199 2.666 2.199
Ca 0.000 2.666 0.000
Re 0.000 0.000 0.000
```


(3)
TiGa2O5 | PBE | relaxed

Values from the calculation:
- total DFT energy (no corrections) (eV per atom) = -7.099
- ΔE to the lowest computed polymorph (kJ/mol of formula units) = 0
- formation energy from raw total energies (eV/atom) = -2.257

Geometry as extended XYZ:
```
16
Lattice="-2.944 -3.546 2.641 4.770 0.418 -2.302 3.948 3.256 8.774" Properties=species:S:1:pos:R:3 pbc="T T T"
Ga 5.911 1.688 3.265
Ga -1.660 -2.817 2.465
Ga -0.137 -1.561 5.848
Ga 7.434 2.944 6.649
O 0.001 -1.726 3.580
O 0.884 -0.498 10.150
O 5.927 1.480 1.267
O 1.690 -0.458 6.187
O -0.153 -1.353 7.846
O 4.084 0.585 2.927
O 4.890 0.625 -1.037
O 5.773 1.853 5.533
O 2.712 -0.546 -0.120
O 3.062 0.673 9.233
Ti 1.372 -0.408 8.353
Ti 4.402 0.535 0.760
```


(4)
DyGaRh | PBE | relaxed

Values from the calculation:
- formation energy (eV/atom) = -0.59
- total DFT energy (no corrections) (eV per atom) = -5.586

Geometry as extended XYZ:
```
12
Lattice="7.105 -0.193 0.000 -2.875 6.500 0.000 -2.115 -3.154 5.504" Properties=species:S:1:pos:R:3 pbc="T T T"
Rh 5.344 0.988 0.000
Rh -1.114 5.319 0.000
Rh -3.198 4.431 2.752
Rh 0.323 2.069 2.752
Ga 2.115 3.154 4.081
Ga 0.000 0.000 1.423
Ga -1.437 3.250 4.175
Ga -1.437 3.250 1.329
Dy -1.776 0.048 4.128
Dy 1.396 4.779 1.376
Dy 2.834 1.529 1.376
Dy 1.776 -0.048 4.128
```


(5)
HfVAs2Se | PBE | relaxed

Values from the calculation:
- total DFT energy (no corrections) (eV per atom) = -5.761
- ΔE to the lowest computed polymorph (kJ/mol of formula units) = 173
- formation energy from raw total energies (eV/atom) = 0.610

Geometry as extended XYZ:
```
5
Lattice="5.123 0.000 0.000 0.000 5.123 0.000 0.000 0.000 5.053" Properties=species:S:1:pos:R:3 pbc="T T T"
Se 0.000 0.000 2.526
V 2.561 2.561 2.526
As 2.561 0.000 0.000
As 0.000 2.561 0.000
Hf 0.000 0.000 0.000
```


(6)
Nd5Ag2Pt | PBE | relaxed

Values from the calculation:
- formation energy (eV/atom) = -0.25
- total DFT energy (no corrections) (eV per atom) = -4.694
- ΔE to the lowest computed polymorph (kJ/mol of formula units) = 89

Geometry as extended XYZ:
```
16
Lattice="5.675 0.000 0.000 -2.838 5.554 0.000 0.000 0.000 15.495" Properties=species:S:1:pos:R:3 pbc="T T T"
Nd 2.838 4.609 13.840
Nd 2.838 4.609 9.403
Nd 0.000 4.490 1.477
Nd 0.000 0.945 6.092
Nd 2.838 1.063 9.224
Nd 0.000 0.945 1.655
Nd 0.000 4.490 6.271
Nd 2.838 1.063 14.018
Nd 0.000 2.960 11.621
Nd 2.838 2.593 3.874
Pt 0.000 2.851 3.874
Pt 2.838 2.703 11.621
Ag 2.838 2.914 6.851
Ag 0.000 2.639 14.598
Ag 0.000 2.639 8.644
Ag 2.838 2.914 0.897
```


(7)
BeTl3Cl6 | PBE | relaxed

Values from the calculation:
- total DFT energy (no corrections) (eV per atom) = -3.228
- formation energy from raw total energies (eV/atom) = -1.038

Geometry as extended XYZ:
```
20
Lattice="-2.524 -3.596 5.348 8.495 -4.245 1.155 1.297 7.570 5.703" Properties=species:S:1:pos:R:3 pbc="T T T"
Cl 4.372 0.271 8.191
Cl 1.431 6.222 6.164
Cl 3.566 -3.948 5.097
Cl 0.891 2.311 8.832
Cl 6.244 1.068 5.131
Cl 6.140 -3.074 6.900
Cl 1.493 3.324 4.531
Cl 4.067 4.198 6.333
Cl 1.460 -0.718 6.151
Cl 6.363 -5.742 4.924
Cl 3.331 0.079 3.092
Cl 6.298 -2.694 3.540
Tl 7.589 -0.279 7.771
Tl 3.298 -2.376 7.670
Tl 3.410 1.308 5.722
Tl 4.794 0.439 11.414
Tl 1.268 -2.426 3.344
Tl -1.527 -1.708 6.987
Be 2.621 4.984 5.066
Be 5.640 -3.839 5.035
```


(8)
K2FeOs | PBE | relaxed

Values from the calculation:
- formation energy (eV/atom) = 1.41
- total DFT energy (no corrections) (eV per atom) = -4.063
- ΔE to the lowest computed polymorph (kJ/mol of formula units) = 245

Geometry as extended XYZ:
```
4
Lattice="-0.626 2.659 -0.124 -0.106 -0.152 -2.728 -11.123 -2.590 0.576" Properties=species:S:1:pos:R:3 pbc="T T T"
Os -3.147 0.606 -1.282
K -0.086 -0.020 0.004
K -5.475 -1.275 0.284
Fe -8.708 -0.689 -0.994
```


| no. | volume (Å³/f.u.) |
| --- | --- |
| 1 | 96.4 |
| 2 | 103.2 |
| 3 | 92.2 |
| 4 | 62.8 |
| 5 | 132.6 |
| 6 | 244.2 |
| 7 | 312.7 |
| 8 | 85.5 |